Ca2TlAg: optimized geometry, GGA-PBEsol.

## Properties
- Energy of formation from the pure elements: -0.381 eV per atom
- Size of the total moment: 0.00 μB/atom

Unit cell a=3.6876 b=3.6876 c=7.5926 alpha=90.00 beta=90.00 gamma=90.00
Sites, in units of the cell vectors:
Ca (0.0000, 0.0000, 0.7632)
Ag (0.5000, 0.5000, 0.0000)
Ca (0.0000, 0.0000, 0.2368)
Tl (0.5000, 0.5000, 0.5000)